[1]
A plane-wave DFT calculation with PBE was carried out for SmScIr after structural relaxation.

Properties
Its total magnetic moment is 0.001 μB per formula unit. The calculation puts the energy above the most stable polymorph in this dataset at 187 meV/atom. The value obtained for the calculated formation energy is -526 meV/atom. The value obtained for the density is 9.24 g cm⁻³.

Lattice parameters (Å, degrees): 6.754 6.754 6.754 151.58 151.58 40.63
Fractional coordinates of all 3 atoms:
Sm 0.000 0.000 0.000
Sc 0.267 0.267 0.000
Ir 0.653 0.653 0.000


[2]
A plane-wave DFT calculation with PBE was carried out for SmSc3Ir after structural relaxation.

Properties
Its total magnetic moment is 0.000 μB per formula unit. The value obtained for the calculated formation energy is -321 meV/atom. The value obtained for the density is 5.94 g cm⁻³.

Lattice parameters (Å, degrees): 5.110 5.110 5.110 90.00 90.00 90.00
Fractional coordinates of all 5 atoms:
Sm 0.000 0.000 0.000
Sc 0.000 0.500 0.500
Sc 0.500 0.000 0.500
Sc 0.500 0.500 0.000
Ir 0.500 0.500 0.500


[3]
A plane-wave DFT calculation with PBE was carried out for SmScIr after structural relaxation.

Properties
Its total magnetic moment is 0.000 μB per formula unit. The calculation puts the energy above the most stable polymorph in this dataset at 116 meV/atom. The value obtained for the calculated formation energy is -596 meV/atom. The value obtained for the density is 8.65 g cm⁻³.

Lattice parameters (Å, degrees): 4.721 4.721 4.721 60.00 60.00 60.00
Fractional coordinates of all 3 atoms:
Sm 0.000 0.000 0.000
Sc 0.500 0.500 0.500
Ir 0.750 0.750 0.750


[4]
A plane-wave DFT calculation with PBE was carried out for SmScIr after structural relaxation.

Properties
Its total magnetic moment is 0.000 μB per formula unit. The calculation puts the energy above the most stable polymorph in this dataset at 0 meV/atom. The value obtained for the calculated formation energy is -712 meV/atom. The value obtained for the density is 9.51 g cm⁻³.

Lattice parameters (Å, degrees): 4.466 7.246 7.246 120.07 90.00 90.00
Fractional coordinates of all 9 atoms:
Sm 0.000 0.000 0.000
Sm 0.000 0.171 0.585
Sm 0.000 0.585 0.171
Sc 0.500 0.334 0.334
Sc 0.500 0.586 0.837
Sc 0.500 0.837 0.586
Ir 0.000 0.585 0.585
Ir 0.500 0.252 0.919
Ir 0.500 0.919 0.252


[5]
A plane-wave DFT calculation with PBE was carried out for SmSc2Ir after structural relaxation.

Properties
Its total magnetic moment is 0.000 μB per formula unit. The calculation puts the energy above the most stable polymorph in this dataset at 1 meV/atom. The value obtained for the calculated formation energy is -557 meV/atom. The value obtained for the density is 7.56 g cm⁻³.

Lattice parameters (Å, degrees): 7.126 8.714 6.123 90.00 90.00 90.00
Fractional coordinates of all 16 atoms:
Sm 0.031 0.250 0.124
Sm 0.469 0.750 0.624
Sm 0.531 0.250 0.376
Sm 0.969 0.750 0.876
Sc 0.174 0.062 0.658
Sc 0.174 0.438 0.658
Sc 0.326 0.562 0.158
Sc 0.326 0.938 0.158
Sc 0.674 0.062 0.842
Sc 0.674 0.438 0.842
Sc 0.826 0.562 0.342
Sc 0.826 0.938 0.342
Ir 0.118 0.750 0.421
Ir 0.382 0.250 0.921
Ir 0.618 0.750 0.079
Ir 0.882 0.250 0.579


[6]
A plane-wave DFT calculation with PBE was carried out for SmSc2Ir after structural relaxation.

Properties
Its total magnetic moment is 0.000 μB per formula unit. The calculation puts the energy above the most stable polymorph in this dataset at 123 meV/atom. The value obtained for the calculated formation energy is -434 meV/atom. The value obtained for the density is 7.12 g cm⁻³.

Lattice parameters (Å, degrees): 6.398 6.398 6.398 40.78 40.78 40.78
Fractional coordinates of all 4 atoms:
Sm 0.000 0.000 0.000
Sc 0.551 0.551 0.551
Sc 0.788 0.788 0.788
Ir 0.174 0.174 0.174


[7]
A plane-wave DFT calculation with PBE was carried out for SmScIr after structural relaxation.

Properties
Its total magnetic moment is 0.000 μB per formula unit. The calculation puts the energy above the most stable polymorph in this dataset at 17 meV/atom. The value obtained for the calculated formation energy is -695 meV/atom. The value obtained for the density is 9.26 g cm⁻³.

Lattice parameters (Å, degrees): 4.448 4.448 7.028 91.49 91.49 89.40
Fractional coordinates of all 6 atoms:
Sm 0.244 0.244 0.366
Sm 0.756 0.756 0.634
Sc 0.253 0.747 0.000
Sc 0.747 0.253 0.000
Ir 0.231 0.231 0.772
Ir 0.769 0.769 0.228


[8]
A plane-wave DFT calculation with PBE was carried out for SmScTlIr after structural relaxation.

Properties
Its total magnetic moment is 0.000 μB per formula unit. The value obtained for the calculated formation energy is -413 meV/atom. The value obtained for the density is 10.96 g cm⁻³.

Lattice parameters (Å, degrees): 5.025 5.025 5.025 60.00 60.00 60.00
Fractional coordinates of all 4 atoms:
Sm 0.000 0.000 0.000
Sc 0.500 0.500 0.500
Tl 0.750 0.750 0.750
Ir 0.250 0.250 0.250


[9]
A plane-wave DFT calculation with PBE was carried out for ScSn3Ir after structural relaxation.

Properties
Its total magnetic moment is 0.000 μB per formula unit. The value obtained for the calculated formation energy is 247 meV/atom. The value obtained for the density is 7.18 g cm⁻³.

Lattice parameters (Å, degrees): 5.158 5.158 5.158 90.00 90.00 90.00
Fractional coordinates of all 5 atoms:
Sc 0.000 0.000 0.000
Sn 0.000 0.500 0.500
Sn 0.500 0.000 0.500
Sn 0.500 0.500 0.000
Ir 0.500 0.500 0.500


[10]
A plane-wave DFT calculation with PBE was carried out for Sc4SnIr after structural relaxation.

Properties
Its total magnetic moment is 0.000 μB per formula unit. The value obtained for the calculated formation energy is -534 meV/atom. The value obtained for the density is 5.57 g cm⁻³.

Lattice parameters (Å, degrees): 4.589 4.589 6.952 90.00 90.00 90.00
Fractional coordinates of all 6 atoms:
Sc 0.000 0.500 0.221
Sc 0.000 0.500 0.779
Sc 0.500 0.000 0.221
Sc 0.500 0.000 0.779
Sn 0.000 0.000 0.500
Ir 0.500 0.500 0.000


[11]
A plane-wave DFT calculation with PBE was carried out for Sc2SnIr after structural relaxation.

Properties
Its total magnetic moment is 0.000 μB per formula unit. The value obtained for the calculated formation energy is -298 meV/atom. The value obtained for the density is 6.37 g cm⁻³.

Lattice parameters (Å, degrees): 9.274 9.274 9.274 22.72 22.72 22.72
Fractional coordinates of all 4 atoms:
Sc 0.111 0.111 0.111
Sc 0.889 0.889 0.889
Sn 0.000 0.000 0.000
Ir 0.500 0.500 0.500


[12]
A plane-wave DFT calculation with PBE was carried out for Sc2Sn2Ir after structural relaxation.

Properties
Its total magnetic moment is 0.000 μB per formula unit. The value obtained for the calculated formation energy is -558 meV/atom. The value obtained for the density is 8.13 g cm⁻³.

Lattice parameters (Å, degrees): 6.934 6.934 4.413 90.00 90.00 90.00
Fractional coordinates of all 10 atoms:
Sc 0.167 0.333 0.000
Sc 0.333 0.833 0.000
Sc 0.667 0.167 0.000
Sc 0.833 0.667 0.000
Sn 0.144 0.644 0.500
Sn 0.356 0.144 0.500
Sn 0.644 0.856 0.500
Sn 0.856 0.356 0.500
Ir 0.000 0.000 0.500
Ir 0.500 0.500 0.500